## P
Entry from the Alexandria database: a relaxed structure of PuNpTe2 (PBE).

Cell: 5.346 5.346 5.346 Å, 60.00 60.00 60.00°
Last column: magnetic moment on the atom in μB.
Fractional coordinates of all 4 atoms:
Pu: 0.000 0.000 0.000  5.66
Te: 0.750 0.750 0.750  -0.12
Te: 0.250 0.250 0.250  -0.12
Np: 0.500 0.500 0.500  4.38

Computed properties:
Volume ... 27.01 A^3/atom
M_tot ... 2.732 μB per atom
Symmetry ... Fm-3m, No. 225

## Q
Entry from the Alexandria database: a relaxed structure of PuNpTe2 (PBE).

Cell: 4.412 4.412 7.652 Å, 73.25 73.25 60.00°
Last column: magnetic moment on the atom in μB.
Fractional coordinates of all 4 atoms:
Pu: 0.000 0.000 0.000  5.54
Np: 0.500 0.500 0.500  4.23
Te: 0.249 0.249 0.252  -0.09
Te: 0.751 0.751 0.748  -0.09

Computed properties:
Volume ... 30.41 A^3/atom
M_tot ... 2.609 μB per atom
Symmetry ... R-3m, No. 166

Q is preferred energetically. Next in line: 5.8 kJ/mol of atoms higher.

## P
Entry from the Alexandria database: a relaxed structure of PuNpTe3 (PBE).

Cell: 5.923 6.699 10.354 Å, 108.88 90.00 90.00°
Last column: magnetic moment on the atom in μB.
Fractional coordinates of all 10 atoms:
Pu: 0.000 0.293 0.587  5.70
Te: 0.000 0.864 0.728  -0.11
Te: 0.500 0.726 0.000  -0.06
Te: 0.000 0.136 0.272  -0.11
Pu: 0.000 0.707 0.413  5.70
Te: 0.500 0.274 0.000  -0.06
Np: 0.500 0.119 0.239  3.90
Te: 0.500 0.500 0.500  -0.12
Te: 0.500 0.000 0.500  -0.12
Np: 0.500 0.881 0.761  3.90

Computed properties:
Volume ... 38.87 A^3/atom
M_tot ... 1.961 μB per atom
Symmetry ... Cmmm, No. 65

## Q
Entry from the Alexandria database: a relaxed structure of PuNpTe3 (PBE).

Cell: 5.998 7.990 7.990 Å, 73.40 67.95 67.95°
Last column: magnetic moment on the atom in μB.
Fractional coordinates of all 10 atoms:
Pu: 0.250 0.189 0.311  5.35
Te: 0.957 0.380 0.707  -0.15
Pu: 0.750 0.811 0.689  5.35
Te: 0.750 0.144 0.356  -0.11
Te: 0.457 0.207 0.880  -0.15
Te: 0.043 0.620 0.293  -0.15
Np: 0.000 0.000 0.000  3.88
Np: 0.500 0.500 0.500  3.88
Te: 0.250 0.856 0.644  -0.11
Te: 0.543 0.793 0.120  -0.15

Computed properties:
Volume ... 32.42 A^3/atom
M_tot ... 1.842 μB per atom
Symmetry ... Imma, No. 74

Q is preferred energetically. Next in line: 21.5 kJ/mol of atoms higher.

## P
Entry from the Alexandria database: a relaxed structure of RbNp2S4 (PBE).

Cell: 4.042 6.959 13.798 Å, 90.00 90.00 106.89°
Last column: magnetic moment on the atom in μB.
Fractional coordinates of all 14 atoms:
Np: 0.867 0.733 0.935  3.58
S: 0.239 0.479 0.898  -0.12
S: 0.761 0.521 0.102  -0.12
Np: 0.867 0.733 0.565  3.58
S: 0.085 0.171 0.250  -0.14
Rb: 0.392 0.785 0.250  0.00
S: 0.500 0.000 0.000  -0.11
S: 0.500 0.000 0.500  -0.11
Np: 0.133 0.267 0.065  3.58
S: 0.761 0.521 0.398  -0.12
S: 0.239 0.479 0.602  -0.12
Np: 0.133 0.267 0.435  3.58
Rb: 0.608 0.215 0.750  0.00
S: 0.915 0.829 0.750  -0.14

Computed properties:
Volume ... 26.53 A^3/atom
M_tot ... 1.000 μB per atom
Symmetry ... Cmcm, No. 63

## Q
Entry from the Alexandria database: a relaxed structure of RbNp2S4 (PBE).

Cell: 4.053 6.920 8.267 Å, 106.50 90.00 90.00°
Last column: magnetic moment on the atom in μB.
Fractional coordinates of all 7 atoms:
S: 0.000 0.224 0.677  -0.11
Np: 0.500 0.000 0.500  3.54
Np: 0.000 0.500 0.500  3.62
S: 0.500 0.272 0.318  -0.10
S: 0.000 0.776 0.323  -0.11
S: 0.500 0.728 0.682  -0.10
Rb: 0.000 0.000 0.000  0.00

Computed properties:
Volume ... 31.76 A^3/atom
M_tot ... 1.000 μB per atom
Symmetry ... P2/m, No. 10

Q is preferred energetically. Next in line: 4.5 kJ/mol of atoms higher.

## P
Entry from the Alexandria database: a relaxed structure of RbNpSb2 (PBE).

Cell: 4.631 4.631 8.768 Å, 74.69 74.69 60.00°
Last column: magnetic moment on the atom in μB.
Fractional coordinates of all 4 atoms:
Sb: 0.727 0.727 0.820  -0.11
Sb: 0.273 0.273 0.180  -0.11
Rb: 0.500 0.500 0.500  -0.01
Np: 0.000 0.000 0.000  3.41

Computed properties:
Volume ... 38.78 A^3/atom
M_tot ... 0.719 μB per atom
Symmetry ... R-3m, No. 166

## Q
Entry from the Alexandria database: a relaxed structure of RbNpSb2 (PBE).

Cell: 4.603 4.603 8.911 Å, 75.03 75.03 60.00°
Last column: magnetic moment on the atom in μB.
Fractional coordinates of all 4 atoms:
Sb: 0.274 0.274 0.179  0.12
Sb: 0.061 0.061 0.817  0.12
Np: 0.668 0.668 0.997  -3.41
Rb: 0.498 0.498 0.506  0.01

Computed properties:
Volume ... 39.01 A^3/atom
M_tot ... 0.713 μB per atom
Symmetry ... R3m, No. 160

## R
Entry from the Alexandria database: a relaxed structure of RbNpSb2 (PBE).

Cell: 4.113 4.113 8.039 Å, 90.00 90.00 90.00°
Last column: magnetic moment on the atom in μB.
Fractional coordinates of all 4 atoms:
Sb: 0.000 0.000 0.817  0.05
Rb: 0.500 0.500 0.500  -0.01
Np: 0.500 0.500 0.000  -3.93
Sb: 0.000 0.000 0.183  0.05

Computed properties:
Volume ... 34.01 A^3/atom
M_tot ... 1.026 μB per atom
Symmetry ... P4/mmm, No. 123

R is preferred energetically. Next in line: 9.3 kJ/mol of atoms higher.

## P
Entry from the Alexandria database: a relaxed structure of RbNp4Se8 (PBE).

Cell: 4.275 10.593 9.194 Å, 79.41 76.56 78.36°
Last column: magnetic moment on the atom in μB.
Fractional coordinates of all 13 atoms:
Np: 0.366 0.852 0.415  3.37
Se: 0.071 0.391 0.468  -0.13
Se: 0.478 0.269 0.774  -0.16
Se: 0.864 0.003 0.269  -0.14
Rb: 0.591 0.927 0.891  0.00
Se: 0.178 0.044 0.600  -0.13
Np: 0.665 0.208 0.462  3.64
Se: 0.764 0.350 0.123  -0.14
Se: 0.559 0.695 0.187  -0.13
Se: 0.868 0.706 0.557  -0.16
Np: 0.153 0.520 0.174  3.48
Np: 0.885 0.449 0.781  3.58
Se: 0.263 0.607 0.867  -0.15

Computed properties:
Volume ... 30.20 A^3/atom
M_tot ... 1.000 μB per atom
Symmetry ... Cm, No. 8

## Q
Entry from the Alexandria database: a relaxed structure of RbNp4Se8 (PBE).

Cell: 8.651 8.651 8.651 Å, 60.00 60.00 60.00°
Last column: magnetic moment on the atom in μB.
Fractional coordinates of all 13 atoms:
Se: 0.189 0.604 0.604  -0.13
Se: 0.581 0.140 0.140  -0.14
Np: 0.373 0.373 0.373  3.52
Se: 0.604 0.604 0.604  -0.13
Rb: 0.750 0.750 0.750  -0.01
Se: 0.140 0.581 0.140  -0.14
Se: 0.140 0.140 0.581  -0.14
Se: 0.140 0.140 0.140  -0.14
Se: 0.604 0.189 0.604  -0.13
Np: 0.373 0.373 0.882  3.52
Se: 0.604 0.604 0.189  -0.13
Np: 0.882 0.373 0.373  3.52
Np: 0.373 0.882 0.373  3.52

Computed properties:
Volume ... 35.22 A^3/atom
M_tot ... 1.000 μB per atom
Symmetry ... F-43m, No. 216

P is preferred energetically. Next in line: 4.7 kJ/mol of atoms higher.

## P
Entry from the Alexandria database: a relaxed structure of Rb2NpSe4 (PBE).

Cell: 4.265 8.826 7.711 Å, 114.81 90.00 90.00°
Last column: magnetic moment on the atom in μB.
Fractional coordinates of all 7 atoms:
Se: 0.000 0.752 0.986  -0.19
Np: 0.000 0.071 0.071  2.13
Se: 0.500 0.022 0.824  -0.17
Se: 0.000 0.391 0.157  -0.19
Se: 0.500 0.121 0.319  -0.17
Rb: 0.500 0.740 0.351  -0.01
Rb: 0.500 0.403 0.792  -0.01

Computed properties:
Volume ... 37.64 A^3/atom
M_tot ... 0.139 μB per atom
Symmetry ... P2/m, No. 10

## Q
Entry from the Alexandria database: a relaxed structure of Rb2NpSe4 (PBE).

Cell: 7.703 7.702 9.487 Å, 66.05 90.00 90.00°
Last column: magnetic moment on the atom in μB.
Fractional coordinates of all 14 atoms:
Se: 0.500 0.651 0.698  -0.21
Rb: 0.500 0.144 0.711  0.00
Np: 0.000 0.000 0.000  2.28
Rb: 0.000 0.644 0.711  0.00
Se: 0.500 0.349 0.302  -0.21
Np: 0.500 0.500 0.000  2.28
Se: 0.750 0.750 0.000  -0.21
Se: 0.000 0.849 0.302  -0.21
Se: 0.250 0.250 0.000  -0.21
Se: 0.250 0.750 0.000  -0.21
Rb: 0.500 0.856 0.289  0.00
Rb: 0.000 0.356 0.289  0.00
Se: 0.000 0.151 0.698  -0.21
Se: 0.750 0.250 0.000  -0.21

Computed properties:
Volume ... 36.74 A^3/atom
M_tot ... 0.138 μB per atom
Symmetry ... I4/mmm, No. 139

Q is preferred energetically. Next in line: 7.3 kJ/mol of atoms higher.

## P
Entry from the Alexandria database: a relaxed structure of RbNpSe4 (PBE).

Cell: 7.899 6.538 6.538 Å, 90.03 90.00 90.00°
Last column: magnetic moment on the atom in μB.
Fractional coordinates of all 12 atoms:
Se: 0.500 0.904 0.333  -0.01
Se: 0.500 0.096 0.667  -0.01
Se: 0.000 0.667 0.096  -0.01
Rb: 0.750 0.500 0.500  0.00
Np: 0.750 0.000 0.000  3.84
Se: 0.000 0.333 0.904  -0.01
Rb: 0.250 0.500 0.500  0.00
Se: 0.500 0.333 0.096  -0.01
Se: 0.000 0.096 0.333  -0.01
Se: 0.000 0.904 0.667  -0.01
Se: 0.500 0.667 0.904  -0.01
Np: 0.250 0.000 0.000  3.84

Computed properties:
Volume ... 28.14 A^3/atom
M_tot ... 0.667 μB per atom
Symmetry ... P4/mcc, No. 124

## Q
Entry from the Alexandria database: a relaxed structure of RbNpSe4 (PBE).

Cell: 6.314 6.314 8.698 Å, 90.00 90.00 90.00°
Last column: magnetic moment on the atom in μB.
Fractional coordinates of all 12 atoms:
Se: 0.639 0.861 0.196  0.00
Rb: 0.500 0.500 0.500  0.00
Se: 0.139 0.639 0.196  0.00
Se: 0.861 0.361 0.196  0.00
Se: 0.861 0.639 0.804  0.00
Se: 0.139 0.361 0.804  0.00
Se: 0.361 0.139 0.196  0.00
Rb: 0.000 0.000 0.500  0.00
Se: 0.361 0.861 0.804  0.00
Se: 0.639 0.139 0.804  0.00
Np: 0.000 0.000 0.000  3.76
Np: 0.500 0.500 0.000  3.76

Computed properties:
Volume ... 28.90 A^3/atom
M_tot ... 0.668 μB per atom
Symmetry ... P4/nbm, No. 125

Q is preferred energetically. Next in line: 2.9 kJ/mol of atoms higher.

## P
Entry from the Alexandria database: a relaxed structure of RbNpTe4 (PBE).

Cell: 8.026 7.878 8.842 Å, 116.46 96.15 90.00°
Last column: magnetic moment on the atom in μB.
Fractional coordinates of all 12 atoms:
Te: 0.443 0.671 0.827  -0.11
Np: 0.272 0.541 0.082  3.26
Te: 0.443 0.156 0.827  -0.11
Te: 0.257 0.723 0.446  -0.19
Te: 0.000 0.753 0.000  -0.21
Te: 0.557 0.329 0.173  -0.11
Te: 0.000 0.247 0.000  -0.21
Rb: 0.189 0.199 0.398  0.00
Np: 0.728 0.459 0.918  3.26
Te: 0.743 0.277 0.554  -0.19
Te: 0.557 0.844 0.173  -0.11
Rb: 0.811 0.801 0.602  0.00

Computed properties:
Volume ... 41.41 A^3/atom
M_tot ... 0.373 μB per atom
Symmetry ... C2/m, No. 12

## Q
Entry from the Alexandria database: a relaxed structure of RbNpTe4 (PBE).

Cell: 6.871 6.871 9.252 Å, 90.00 90.00 90.00°
Last column: magnetic moment on the atom in μB.
Fractional coordinates of all 12 atoms:
Te: 0.648 0.148 0.802  -0.02
Te: 0.648 0.852 0.198  -0.02
Te: 0.352 0.148 0.198  -0.02
Te: 0.352 0.852 0.802  -0.02
Np: 0.500 0.500 0.000  3.86
Te: 0.852 0.352 0.198  -0.02
Rb: 0.500 0.500 0.500  0.00
Rb: 0.000 0.000 0.500  0.00
Np: 0.000 0.000 0.000  3.86
Te: 0.852 0.648 0.802  -0.02
Te: 0.148 0.648 0.198  -0.02
Te: 0.148 0.352 0.802  -0.02

Computed properties:
Volume ... 36.40 A^3/atom
M_tot ... 0.667 μB per atom
Symmetry ... P4/nbm, No. 125

Q is preferred energetically. Next in line: 12.1 kJ/mol of atoms higher.

## P
Entry from the Alexandria database: a relaxed structure of NpURe (PBE).

Cell: 4.637 4.637 2.882 Å, 90.00 90.00 120.00°
Fractional coordinates of all 3 atoms:
Re: 0.333 0.667 0.672
Np: 0.000 0.000 0.043
U: 0.667 0.333 0.285

Computed properties:
Volume ... 17.89 A^3/atom
M_tot ... 0.001 μB per atom
Symmetry ... P3m1, No. 156

## Q
Entry from the Alexandria database: a relaxed structure of NpURe (PBE).

Cell: 3.333 3.333 5.408 Å, 107.95 107.95 90.00°
Fractional coordinates of all 3 atoms:
Re: 0.999 0.999 0.997
Np: 0.316 0.316 0.633
U: 0.685 0.685 0.370

Computed properties:
Volume ... 18.03 A^3/atom
M_tot ... 0.000 μB per atom
Symmetry ... I4mm, No. 107

P is preferred energetically. Next in line: 1.0 kJ/mol of atoms higher.

## P
Entry from the Alexandria database: a relaxed structure of NpURe (PBE).

Cell: 3.212 6.082 6.082 Å, 77.84 105.25 105.25°
Fractional coordinates of all 6 atoms:
U: 0.022 0.845 0.199
Np: 0.300 0.961 0.639
Re: 0.530 0.530 0.530
Np: 0.300 0.639 0.961
U: 0.022 0.199 0.845
Re: 0.785 0.285 0.285

Computed properties:
Volume ... 18.22 A^3/atom
M_tot ... 0.000 μB per atom
Symmetry ... Imm2, No. 44

## Q
Entry from the Alexandria database: a relaxed structure of NpURe (PBE).

Cell: 4.413 4.409 6.238 Å, 90.00 90.00 90.00°
Last column: magnetic moment on the atom in μB.
Fractional coordinates of all 6 atoms:
U: 0.000 0.000 0.500  0.64
U: 0.500 0.500 0.500  0.64
Re: 0.000 0.000 0.000  -0.11
Re: 0.500 0.500 0.000  -0.11
Np: 0.000 0.500 0.260  1.50
Np: 0.500 0.000 0.740  1.50

Computed properties:
Volume ... 20.23 A^3/atom
M_tot ... 0.674 μB per atom
Symmetry ... P4/nmm, No. 129

P is preferred energetically. Next in line: 52.8 kJ/mol of atoms higher.

## P
Entry from the Alexandria database: a relaxed structure of NpV2Re (PBE).

Cell: 4.443 4.443 4.443 Å, 60.00 60.00 60.00°
Last column: magnetic moment on the atom in μB.
Fractional coordinates of all 4 atoms:
Re: 0.000 0.000 0.000  -0.23
Np: 0.500 0.500 0.500  2.67
V: 0.750 0.750 0.750  -0.02
V: 0.250 0.250 0.250  -0.02

Computed properties:
Volume ... 15.50 A^3/atom
M_tot ... 0.599 μB per atom
Symmetry ... Fm-3m, No. 225

## Q
Entry from the Alexandria database: a relaxed structure of NpV2Re (PBE).

Cell: 3.013 3.013 7.006 Å, 90.00 90.00 90.00°
Last column: magnetic moment on the atom in μB.
Fractional coordinates of all 4 atoms:
V: 0.000 0.000 0.782  0.14
Np: 0.500 0.500 0.500  3.18
Re: 0.500 0.500 0.000  -0.03
V: 0.000 0.000 0.218  0.14

Computed properties:
Volume ... 15.91 A^3/atom
M_tot ... 0.913 μB per atom
Symmetry ... P4/mmm, No. 123

Q is preferred energetically. Next in line: 8.0 kJ/mol of atoms higher.

## P
Entry from the Alexandria database: a relaxed structure of NpReW (PBE).

Cell: 6.796 6.796 6.796 Å, 60.00 60.00 60.00°
Last column: magnetic moment on the atom in μB.
Fractional coordinates of all 12 atoms:
Np: 0.215 0.595 0.595  1.55
W: 0.884 0.347 0.884  -0.05
W: 0.884 0.884 0.884  -0.05
Re: 0.548 0.151 0.151  -0.03
Np: 0.595 0.215 0.595  1.55
Np: 0.595 0.595 0.215  1.55
Re: 0.151 0.548 0.151  -0.03
W: 0.347 0.884 0.884  -0.05
Re: 0.151 0.151 0.548  -0.03
Re: 0.151 0.151 0.151  -0.03
W: 0.884 0.884 0.347  -0.05
Np: 0.595 0.595 0.595  1.55

Computed properties:
Volume ... 18.50 A^3/atom
M_tot ... 0.485 μB per atom
Symmetry ... F-43m, No. 216

## Q
Entry from the Alexandria database: a relaxed structure of NpReW (PBE).

Cell: 3.068 3.068 6.191 Å, 104.35 104.35 90.00°
Last column: magnetic moment on the atom in μB.
Fractional coordinates of all 3 atoms:
W: 0.687 0.687 0.374  -0.12
Re: 0.315 0.315 0.631  -0.17
Np: 0.998 0.998 0.995  2.94

Computed properties:
Volume ... 18.19 A^3/atom
M_tot ... 0.917 μB per atom
Symmetry ... I4mm, No. 107

Q is preferred energetically. Next in line: 46.1 kJ/mol of atoms higher.